## CsOsNO2 (PBEsol)

Data for crystalline CsOsNO2 at its relaxed geometry.

Geometry as CIF:
```
data_CsOsNO2
_chemical_formula_sum 'Cs1 Os1 N1 O2'
_cell_length_a 4.0695
_cell_length_b 4.0695
_cell_length_c 3.8744
_cell_angle_alpha 90.00
_cell_angle_beta 90.00
_cell_angle_gamma 90.00
_space_group_name_H-M_alt 'P 4/m m m'
_space_group_IT_number 123
_space_group_name_Hall '-P 4 2'
loop_
_atom_site_label
_atom_site_fract_x
_atom_site_fract_y
_atom_site_fract_z
Cs1 0.0000 0.0000 0.0000
Os1 0.5000 0.5000 0.5000
N1 0.5000 0.5000 0.0000
O1 0.0000 0.5000 0.5000
```

Properties
The value obtained for the electronic total energy is -34.598 eV per cell. For the raw formation energy, the calculation gives -0.483 eV/atom.

## CsSeNO2 (PBEsol)

Data for crystalline CsSeNO2 at its relaxed geometry.

Geometry as CIF:
```
data_CsSeNO2
_chemical_formula_sum 'Cs1 Se1 N1 O2'
_cell_length_a 4.0331
_cell_length_b 4.0331
_cell_length_c 4.3904
_cell_angle_alpha 90.00
_cell_angle_beta 90.00
_cell_angle_gamma 90.00
_space_group_name_H-M_alt 'P 4/m m m'
_space_group_IT_number 123
_space_group_name_Hall '-P 4 2'
loop_
_atom_site_label
_atom_site_fract_x
_atom_site_fract_y
_atom_site_fract_z
Cs1 0.0000 0.0000 0.0000
Se1 0.5000 0.5000 0.5000
N1 0.5000 0.5000 0.0000
O1 0.0000 0.5000 0.5000
```

Properties
The value obtained for the electronic total energy is -23.025 eV per cell. For the raw formation energy, the calculation gives 0.159 eV/atom.

## CsSnNO2 (PBEsol)

Data for crystalline CsSnNO2 at its relaxed geometry.

Geometry as CIF:
```
data_CsSnNO2
_chemical_formula_sum 'Cs1 Sn1 N1 O2'
_cell_length_a 4.0977
_cell_length_b 4.0977
_cell_length_c 8.5325
_cell_angle_alpha 90.00
_cell_angle_beta 90.00
_cell_angle_gamma 90.00
_space_group_name_H-M_alt 'P 4/m m m'
_space_group_IT_number 123
_space_group_name_Hall '-P 4 2'
loop_
_atom_site_label
_atom_site_fract_x
_atom_site_fract_y
_atom_site_fract_z
Cs1 0.0000 0.0000 0.0000
Sn1 0.0000 0.0000 0.5000
N1 0.5000 0.5000 0.5000
O1 0.0000 0.5000 0.0000
```

Properties
The value obtained for the electronic total energy is -17.175 eV per cell. For the raw formation energy, the calculation gives 1.410 eV/atom.

Which value of raw formation energy does entry 3 give? 1.410 eV/atom

Which formula does entry 2 have? CsSeNO2